# 1
GGA-PBE ZrBe3, optimized geometry; V = 50 Å³ per cell; formation enthalpy at 0 K = 0.58 eV per formula unit; SG = Pmm2 (25); magnetization = 0.0 μB per formula unit; D(E_F) = 0.72 states/eV/f.u.
1.0
2.587 0.000 0.000
0.000 3.610 0.000
0.000 0.000 5.359
Be Zr
3 1
Direct
0.500 0.500 0.827 Be
0.000 0.000 0.913 Be
0.500 0.000 0.595 Be
0.000 0.500 0.332 Zr

# 2
GGA-PBE MnZnNi, optimized geometry; V = 38 Å³ per cell; formation enthalpy at 0 K = -0.07 eV per formula unit; SG = P3m1 (156); magnetization = 3.8 μB per formula unit; D(E_F) = 1.90 states/eV/f.u.
1.0
-1.561 -3.750 0.649
3.034 1.408 2.394
-1.765 1.018 1.639
Zn Mn Ni
1 1 1
Direct
0.667 0.333 0.618 Zn
0.000 0.000 0.026 Mn
0.333 0.667 0.356 Ni